An optimized crystal structure of CsYRe2O8, computed with PBE.

Summary:
**Crystal system**: trigonal
**Total moment**: 2.0 Bohr magnetons per cell
**Final energy**: -95.581 eV for the cell shown
**Density**: 4.92 g cm⁻³

Unit cell a=5.9788 b=5.9788 c=7.8712 alpha=90.00 beta=90.00 gamma=120.00
Positions (direct):
Cs 0.0000 0.0000 0.0000
Y 0.0000 0.0000 0.5000
Re 0.3333 0.6667 0.2458
Re 0.6667 0.3333 0.7542
O 0.1705 0.3411 0.3274
O 0.1705 0.8295 0.3274
O 0.3333 0.6667 0.0211
O 0.3411 0.1705 0.6726
O 0.6589 0.8295 0.3274
O 0.6667 0.3333 0.9789
O 0.8295 0.1705 0.6726
O 0.8295 0.6589 0.6726

***

An optimized crystal structure of SmYNi2B4, computed with PBE.

Summary:
**Crystal system**: tetragonal
**Total moment**: 0.3 Bohr magnetons per cell
**Final energy**: -50.685 eV for the cell shown
**Density**: 6.13 g cm⁻³

Unit cell a=3.7204 b=3.7204 c=7.8284 alpha=90.00 beta=90.00 gamma=90.00
Positions (direct):
Sm 0.0000 0.0000 0.0000
Y 0.5000 0.5000 0.3586
Ni 0.0000 0.5000 0.6769
Ni 0.5000 0.0000 0.6769
B 0.0000 0.0000 0.3407
B 0.0000 0.0000 0.5500
B 0.5000 0.5000 0.0167
B 0.5000 0.5000 0.8064

***

An optimized crystal structure of LuBeCoB, computed with PBE.

Summary:
**Distance to the lowest polymorph of the same formula**: 0.000 eV per atom
**Crystal system**: cubic
**Total moment**: 0.0 Bohr magnetons per cell
**Density**: 8.99 g cm⁻³

Unit cell a=5.7237 b=5.7237 c=5.7237 alpha=90.00 beta=90.00 gamma=90.00
Positions (direct):
Lu 0.0000 0.0000 0.0000
Lu 0.0000 0.5000 0.5000
Lu 0.5000 0.0000 0.5000
Lu 0.5000 0.5000 0.0000
Be 0.2500 0.2500 0.7500
Be 0.2500 0.7500 0.2500
Be 0.7500 0.2500 0.2500
Be 0.7500 0.7500 0.7500
Co 0.0000 0.0000 0.5000
Co 0.0000 0.5000 0.0000
Co 0.5000 0.0000 0.0000
Co 0.5000 0.5000 0.5000
B 0.2500 0.2500 0.2500
B 0.2500 0.7500 0.7500
B 0.7500 0.2500 0.7500
B 0.7500 0.7500 0.2500

***

An optimized crystal structure of SrSnMo, computed with PBE.

Summary:
**Distance to the lowest polymorph of the same formula**: 0.552 eV per atom
**Crystal system**: cubic
**Total moment**: 16.0 Bohr magnetons per cell
**Density**: 4.99 g cm⁻³

Unit cell a=7.3840 b=7.3840 c=7.3840 alpha=90.00 beta=90.00 gamma=90.00
Positions (direct):
Sr 0.0000 0.0000 0.0000
Sr 0.0000 0.5000 0.5000
Sr 0.5000 0.0000 0.5000
Sr 0.5000 0.5000 0.0000
Sn 0.2500 0.2500 0.2500
Sn 0.2500 0.7500 0.7500
Sn 0.7500 0.2500 0.7500
Sn 0.7500 0.7500 0.2500
Mo 0.2500 0.2500 0.7500
Mo 0.2500 0.7500 0.2500
Mo 0.7500 0.2500 0.2500
Mo 0.7500 0.7500 0.7500

***

An optimized crystal structure of BeCd2Co, computed with PBE.

Summary:
**Crystal system**: cubic
**Total moment**: 2.6 Bohr magnetons per cell
**Final energy**: -43.655 eV for the cell shown
**Density**: 8.26 g cm⁻³

Unit cell a=6.1754 b=6.1754 c=6.1754 alpha=90.00 beta=90.00 gamma=90.00
Positions (direct):
Be 0.0000 0.0000 0.0000
Be 0.0000 0.5000 0.5000
Be 0.5000 0.0000 0.5000
Be 0.5000 0.5000 0.0000
Cd 0.0000 0.0000 0.5000
Cd 0.0000 0.5000 0.0000
Cd 0.2500 0.2500 0.7500
Cd 0.2500 0.7500 0.2500
Cd 0.5000 0.0000 0.0000
Cd 0.5000 0.5000 0.5000
Cd 0.7500 0.2500 0.2500
Cd 0.7500 0.7500 0.7500
Co 0.2500 0.2500 0.2500
Co 0.2500 0.7500 0.7500
Co 0.7500 0.2500 0.7500
Co 0.7500 0.7500 0.2500

***

An optimized crystal structure of PaAsPd, computed with PBE.

Summary:
**Crystal system**: cubic
**Total moment**: 0.0 Bohr magnetons per cell
**Final energy**: -82.344 eV for the cell shown
**Density**: 9.30 g cm⁻³

Unit cell a=6.6532 b=6.6532 c=6.6532 alpha=90.00 beta=90.00 gamma=90.00
Positions (direct):
Pa 0.0000 0.0000 0.0000
Pa 0.0000 0.5000 0.5000
Pa 0.5000 0.0000 0.5000
Pa 0.5000 0.5000 0.0000
As 0.2500 0.2500 0.7500
As 0.2500 0.7500 0.2500
As 0.7500 0.2500 0.2500
As 0.7500 0.7500 0.7500
Pd 0.2500 0.2500 0.2500
Pd 0.2500 0.7500 0.7500
Pd 0.7500 0.2500 0.7500
Pd 0.7500 0.7500 0.2500